No. 1
A plane-wave DFT calculation with PBE-GGA was carried out for an optimized crystal structure of Y2Ga9Co3.

Unit cell a=7.3794 b=7.3794 c=10.3469 alpha=90.07 beta=110.71 gamma=120.16
With the nearest neighbours (Å) after each atom.
Fractional positions:
Ga 0.4540 0.9176 0.7488  2 Co 2.52-2.53, 6 Ga 2.72-2.81
Ga 0.5391 0.1868 0.5569  3 Co 2.52-2.56, 4 Ga 2.69-2.81
Ga 0.8818 0.1318 0.7500  2 Co 2.54, 6 Ga 2.72-2.83
Ga 0.2134 0.5224 0.5712  3 Co 2.50-2.55, 4 Ga 2.73-2.80
Ga 0.4513 0.6422 0.9288  3 Co 2.50-2.55, 4 Ga 2.73-2.80
Ga 0.1298 0.9821 0.9430  3 Co 2.52-2.56, 4 Ga 2.69-2.81
Ga 0.5460 0.0824 0.2512  2 Co 2.52-2.53, 6 Ga 2.72-2.81
Ga 0.5487 0.3578 0.0712  3 Co 2.50-2.55, 4 Ga 2.73-2.80
Ga 0.6688 0.7051 0.7512  2 Co 2.52-2.53, 6 Ga 2.72-2.81
Ga 0.8801 0.8573 0.5711  3 Co 2.51-2.55, 5 Ga 2.73-2.80
Ga 0.2138 0.6910 0.0711  3 Co 2.51-2.55, 5 Ga 2.73-2.80
Ga 0.1199 0.1427 0.4289  3 Co 2.51-2.55, 5 Ga 2.73-2.80
Ga 0.4609 0.8132 0.4430  3 Co 2.52-2.56, 4 Ga 2.69-2.81
Ga 0.7862 0.3090 0.9289  3 Co 2.51-2.55, 5 Ga 2.73-2.80
Ga 0.3312 0.2949 0.2488  2 Co 2.52-2.53, 6 Ga 2.72-2.81
Ga 0.7866 0.4776 0.4288  3 Co 2.50-2.55, 4 Ga 2.73-2.80
Ga 0.1182 0.8682 0.2500  2 Co 2.54, 6 Ga 2.72-2.83
Ga 0.8702 0.0179 0.0570  3 Co 2.52-2.56, 4 Ga 2.69-2.81
Y 0.0012 0.4152 0.2495  11 Ga 2.98-3.05
Y 0.3343 0.2483 0.7495  11 Ga 2.98-3.05
Y 0.6657 0.7517 0.2505  11 Ga 2.98-3.05
Y 0.9988 0.5848 0.7505  11 Ga 2.98-3.05
Co 0.1602 0.8298 0.5009  8 Ga 2.50-2.56
Co 0.8289 0.6592 0.9991  8 Ga 2.50-2.56
Co 0.1711 0.3408 0.0009  8 Ga 2.50-2.56
Co 0.5000 0.5000 0.5000  8 Ga 2.52-2.55
Co 0.5000 0.0000 0.0000  8 Ga 2.52-2.55
Co 0.8398 0.1702 0.4991  8 Ga 2.50-2.56

## Properties
Calculated volume, Å³/atom: 15.871
SG: C2/c, No. 15
Fermi-level density of states, states/eV/atom: 0.544
Energy relative to the elements, meV/atom: -489.8

=====

No. 2
A plane-wave DFT calculation with PBE-GGA was carried out for an optimized crystal structure of RbGa2Ge2Au6.

Unit cell a=7.0727 b=8.8774 c=6.1636 alpha=93.74 beta=64.81 gamma=54.14
With the nearest neighbours (Å) after each atom.
Fractional positions:
Au 0.6012 0.5792 0.1832  2 Ga 2.62-2.63, 2 Ge 2.70-2.76, 3 Au 2.86-2.92
Au 0.3005 0.9113 0.0581  1 Ge 2.54, 1 Ga 2.76
Au 0.6995 0.0887 0.9419  1 Ge 2.54, 1 Ga 2.76
Au 0.0996 0.3318 0.1948  2 Ga 2.59-2.63, 1 Ge 2.68, 2 Au 2.88-2.90
Au 0.3988 0.4208 0.8168  2 Ga 2.62-2.63, 2 Ge 2.70-2.76, 3 Au 2.86-2.92
Au 0.9004 0.6682 0.8052  2 Ga 2.59-2.63, 1 Ge 2.68, 2 Au 2.88-2.90
Rb 0.5000 0.0000 0.5000  8 Au 3.46-3.78, 2 Ge 3.64
Ga 0.7226 0.5010 0.7016  5 Au 2.59-2.76, 1 Ge 2.86
Ga 0.2774 0.4990 0.2984  5 Au 2.59-2.76, 1 Ge 2.86
Ge 0.7826 0.2381 0.2863  4 Au 2.54-2.76
Ge 0.2174 0.7619 0.7137  4 Au 2.54-2.76

## Properties
Calculated volume, Å³/atom: 23.305
SG: P-1, No. 2
Fermi-level density of states, states/eV/atom: 0.271
Energy relative to the elements, meV/atom: -120.0

=====

No. 3
A plane-wave DFT calculation with PBE-GGA was carried out for an optimized crystal structure of MgRh4O8.

Unit cell a=6.1832 b=6.1832 c=5.9875 alpha=90.00 beta=121.09 gamma=120.00
With the nearest neighbours (Å) after each atom.
Fractional positions:
O 0.9748 0.7325 0.2171  3 Rh 2.05-2.10, 1 Mg 2.22
O 0.5436 0.2718 0.8153  3 Rh 1.99
O 0.5154 0.7577 0.7829  3 Rh 2.05-2.10, 1 Mg 2.22
O 0.4846 0.2423 0.2171  3 Rh 2.05-2.10, 1 Mg 2.22
O 0.4564 0.7282 0.1847  3 Rh 1.99
O 0.0252 0.2675 0.7829  3 Rh 2.05-2.10, 1 Mg 2.22
O 0.9748 0.2423 0.2171  3 Rh 2.05-2.10, 1 Mg 2.22
O 0.0252 0.7577 0.7829  3 Rh 2.05-2.10, 1 Mg 2.22
Rh 0.5000 0.5000 0.0000  6 O 1.99-2.05
Rh 0.5000 0.0000 0.0000  6 O 1.99-2.05
Rh 0.0000 0.5000 0.0000  6 O 1.99-2.05
Rh 0.0000 0.0000 0.0000  6 O 2.10
Mg 0.0000 0.5000 0.5000  6 O 2.22

## Properties
Calculated volume, Å³/atom: 12.242
SG: R-3m, No. 166
Fermi-level density of states, states/eV/atom: 0.630
E_form (uncorrected), eV per atom: -0.918

=====

no.,energy (eV/atom)
1,-4.882
2,-3.385
3,-6.354